Entry from the Alexandria database: a geometry-optimized Tb3VPt12 structure (GGA-PBE).

Geometry as POSCAR:
```
Tb3VPt12
1.0
-3.5505 -1.9878 -0.2117
1.1588 -2.3983 3.0834
-6.5265 10.5243 10.6385
Pt Tb V
12 3 1
Direct
0.0000 0.5000 0.8882
0.5000 0.0000 0.1118
0.5000 0.5000 0.7585
0.0000 0.5000 0.3716
0.5000 0.5000 0.2415
0.5000 0.0000 0.3716
0.0000 0.5000 0.1118
0.0000 0.5000 0.6284
0.5000 0.5000 0.0000
0.5000 0.0000 0.8882
0.5000 0.0000 0.6284
0.5000 0.5000 0.5000
0.0000 0.0000 0.2460
0.0000 0.0000 0.7540
0.0000 0.0000 0.5000
0.0000 0.0000 0.0000
```

The formation energy comes out at -84.2 kJ/mol of atoms.